The following is a PBE calculation of an optimized crystal structure of Ca3AcPb2, from the Alexandria database.

Structure (POSCAR):
```
Ca3AcPb2
1.0
7.8982 0.0000 0.0000
0.0000 7.6860 0.0000
-3.9491 -3.8430 7.9971
Ca Ac Pb
6 2 4
Cartesian
3.9491 1.9215 0.0000
3.9491 5.7645 0.0000
3.9491 -1.9215 4.2827
0.0000 1.9215 3.7143
0.0000 5.7645 3.7143
3.9491 1.9215 4.2827
0.0000 3.8430 0.0000
0.0000 0.0000 0.0000
1.5997 0.0000 5.7674
5.5488 0.0000 2.2296
-1.5997 3.8430 5.7674
2.3494 3.8430 2.2296
```

Computed properties:
**Calculated total energy**: -3.24 eV per atom
**Crystal system**: orthorhombic

The following is a PBE calculation of an optimized crystal structure of Ca2Ac3Pb3, from the Alexandria database.

Structure (POSCAR):
```
Ca2Ac3Pb3
1.0
-1.7601 -1.0763 4.0852
0.0733 -5.1846 -1.3344
11.7269 2.1443 3.0540
Ca Ac Pb
2 3 3
Cartesian
4.4930 -1.0250 4.2293
5.5471 -3.0916 1.5754
1.7402 -3.3646 2.4268
8.2999 -0.7521 3.3778
-0.8800 -0.5382 2.0426
3.2061 -0.2905 1.3048
0.0366 -2.5923 -0.6672
6.8340 -3.8262 4.4999
```

Computed properties:
**Calculated total energy**: -3.83 eV per atom
**Crystal system**: orthorhombic

The following is a PBE calculation of an optimized crystal structure of CaAc8Pb6, from the Alexandria database.

Structure (POSCAR):
```
CaAc8Pb6
1.0
10.0431 0.0000 0.0000
5.0215 8.6976 0.0000
5.0215 2.8992 7.0360
Ca Ac Pb
1 8 6
Cartesian
0.0000 0.0000 0.0000
8.3855 2.8736 2.1233
11.7472 2.9005 4.9127
6.6814 5.7715 4.9127
10.0431 5.7984 0.0213
10.0431 5.7984 7.0147
13.4048 5.8252 2.1233
8.3390 8.6963 2.1233
11.7007 8.7231 4.9127
8.3517 2.8944 5.5844
11.7123 2.8816 1.4516
6.6825 5.8112 1.4516
13.4037 5.7856 5.5844
8.3739 8.7151 5.5844
11.7345 8.7023 1.4516
```

Computed properties:
**Calculated total energy**: -4.21 eV per atom
**Crystal system**: trigonal

Number 1: calculated formation energy -0.32 eV per atom. Number 2: calculated formation energy -0.40 eV per atom. Number 3: calculated formation energy -0.41 eV per atom.